NaCa2GeRh | GGA-PBE | optimized geometry

Geometry as POSCAR:
```
NaCa2GeRh
1.0
5.537 0.000 0.000
0.000 5.537 0.000
0.000 0.000 4.775
Na Ca Ge Rh
1 2 1 1
Direct
0.000 0.000 0.000
0.000 0.500 0.500
0.500 0.000 0.500
0.500 0.500 0.000
0.500 0.500 0.500
```

## Properties
Energy relative to the elements, eV per atom: -0.33
Space group: P4/mmm
Crystal system: tetragonal


NaTaN2 | GGA-PBE | optimized geometry

Geometry as POSCAR:
```
NaTaN2
1.0
1.566 0.904 5.860
-1.566 0.904 5.860
0.000 -1.808 5.860
Na Ta N
1 1 2
Direct
0.000 0.000 0.000
0.828 0.828 0.828
0.224 0.224 0.224
0.431 0.431 0.431
```

## Properties
Raw formation energy, kJ per mole of atoms: -82.9
Space group: R3m
Crystal system: trigonal


Na3TmPb6 | GGA-PBE | optimized geometry

Geometry as POSCAR:
```
Na3TmPb6
1.0
10.862 0.000 0.000
0.000 4.892 0.000
-0.082 0.000 10.891
Na Tm Pb
6 2 12
Direct
0.003 0.250 0.249
0.205 0.750 0.346
0.401 0.250 0.447
0.599 0.750 0.553
0.795 0.250 0.654
0.997 0.750 0.751
0.387 0.750 0.941
0.613 0.250 0.059
0.098 0.250 0.540
0.105 0.750 0.046
0.190 0.250 0.837
0.302 0.750 0.647
0.309 0.250 0.142
0.497 0.250 0.759
0.503 0.750 0.241
0.691 0.750 0.858
0.698 0.250 0.353
0.810 0.750 0.163
0.895 0.250 0.954
0.902 0.750 0.460
```

## Properties
Energy relative to the elements, eV per atom: -0.18
Space group: P2_1/m
Crystal system: monoclinic


Sc2Ta2Ni | GGA-PBE | optimized geometry

Geometry as POSCAR:
```
Sc2Ta2Ni
1.0
6.480 0.000 0.000
0.000 6.480 0.000
0.000 0.000 4.707
Sc Ta Ni
4 4 2
Direct
0.160 0.340 0.000
0.340 0.840 0.000
0.660 0.160 0.000
0.840 0.660 0.000
0.147 0.647 0.500
0.353 0.147 0.500
0.647 0.853 0.500
0.853 0.353 0.500
0.000 0.000 0.500
0.500 0.500 0.500
```

## Properties
Energy relative to the elements, eV per atom: 0.21
Space group: P4/mbm
Crystal system: tetragonal


Nd2ScPb9 | GGA-PBE | optimized geometry

Geometry as POSCAR:
```
Nd2ScPb9
1.0
4.909 0.000 0.000
0.000 4.909 0.000
0.000 0.000 14.576
Nd Sc Pb
2 1 9
Direct
0.000 0.000 0.169
0.000 0.000 0.831
0.000 0.000 0.500
0.000 0.500 0.000
0.000 0.500 0.342
0.000 0.500 0.658
0.500 0.000 0.000
0.500 0.000 0.342
0.500 0.000 0.658
0.500 0.500 0.171
0.500 0.500 0.500
0.500 0.500 0.829
```

## Properties
Energy relative to the elements, eV per atom: -0.29
Space group: P4/mmm
Crystal system: tetragonal


Number 1: uncorrected energy -3.78 eV/atom. Number 2: uncorrected energy -8.31 eV/atom. Number 3: uncorrected energy -3.25 eV/atom. Number 4: uncorrected energy -8.22 eV/atom. Number 5: uncorrected energy -4.39 eV/atom.